Compound: LiCrPO4
Source: Alexandria
Functional: PBE with a Hubbard U
Structure: relaxed

Lattice parameters (Å, degrees): 7.796 8.275 17.564 60.60 90.00 90.00
Fractional coordinates of all 84 atoms:
Li: 0.620 0.677 0.413
Li: 0.885 0.327 0.752
Li: 0.652 0.022 0.078
Li: 0.152 0.978 0.422
Li: 0.385 0.673 0.748
Li: 0.120 0.323 0.087
Li: 0.880 0.677 0.913
Li: 0.615 0.327 0.252
Li: 0.848 0.022 0.578
Li: 0.348 0.978 0.922
Li: 0.115 0.673 0.248
Li: 0.380 0.323 0.587
Cr: 0.960 0.315 0.928
Cr: 0.049 0.655 0.583
Cr: 0.362 0.016 0.246
Cr: 0.862 0.984 0.254
Cr: 0.549 0.345 0.917
Cr: 0.460 0.685 0.572
Cr: 0.540 0.315 0.428
Cr: 0.451 0.655 0.083
Cr: 0.138 0.016 0.746
Cr: 0.638 0.984 0.754
Cr: 0.951 0.345 0.417
Cr: 0.040 0.685 0.072
P: 0.243 0.621 0.423
P: 0.314 0.297 0.760
P: 0.257 0.014 0.077
P: 0.757 0.986 0.423
P: 0.814 0.703 0.740
P: 0.743 0.379 0.077
P: 0.257 0.621 0.923
P: 0.186 0.297 0.260
P: 0.243 0.014 0.577
P: 0.743 0.986 0.923
P: 0.686 0.703 0.240
P: 0.757 0.379 0.577
O: 0.417 0.537 0.417
O: 0.895 0.431 0.625
O: 0.752 0.135 0.955
O: 0.403 0.246 0.848
O: 0.207 0.543 0.523
O: 0.618 0.830 0.278
O: 0.249 0.903 0.179
O: 0.121 0.238 0.779
O: 0.424 0.123 0.046
O: 0.336 0.507 0.694
O: 0.099 0.144 0.040
O: 0.259 0.833 0.377
O: 0.836 0.493 0.806
O: 0.759 0.167 0.123
O: 0.599 0.856 0.460
O: 0.924 0.877 0.454
O: 0.621 0.762 0.721
O: 0.749 0.097 0.321
O: 0.707 0.457 0.977
O: 0.903 0.754 0.652
O: 0.118 0.170 0.222
O: 0.252 0.865 0.545
O: 0.395 0.569 0.875
O: 0.917 0.463 0.083
O: 0.083 0.537 0.917
O: 0.605 0.431 0.125
O: 0.748 0.135 0.455
O: 0.882 0.830 0.778
O: 0.097 0.246 0.348
O: 0.293 0.543 0.023
O: 0.251 0.903 0.679
O: 0.379 0.238 0.279
O: 0.076 0.123 0.546
O: 0.401 0.144 0.540
O: 0.241 0.833 0.877
O: 0.164 0.507 0.194
O: 0.741 0.167 0.623
O: 0.901 0.856 0.960
O: 0.664 0.493 0.306
O: 0.576 0.877 0.954
O: 0.879 0.762 0.221
O: 0.751 0.097 0.821
O: 0.382 0.170 0.722
O: 0.793 0.457 0.477
O: 0.597 0.754 0.152
O: 0.248 0.865 0.045
O: 0.105 0.569 0.375
O: 0.583 0.463 0.583

Summary:
relative energy among the computed polymorphs = 0.032 eV/atom
total energy = -49.7 eV/f.u.